Density functional theory data (PBE) for a geometry-optimized La2RhPb structure.

Calculated values
- total DFT energy (no corrections) (eV per atom) = -5.773
- calculated volume (A^3/atom) = 27.793

a b c (Å): 3.6950 4.8879 12.3109
angles (deg): 90.00 90.00 90.00
Space group Imm2 (No. 44)
Inequivalent atoms, fractional coordinates:
La (0.0000, 0.0000, 0.0000)
La (0.0000, 0.5000, 0.1987)
Rh (0.0000, 0.5000, 0.7056)
Pb (0.0000, 0.0000, 0.3925)


Density functional theory data (PBE) for a geometry-optimized MgCoSe2 structure.

Calculated values
- total DFT energy (no corrections) (eV per atom) = -4.291
- relative energy among the computed polymorphs (eV per atom) = 0.1506
- raw formation energy (eV/atom) = -0.374
- calculated volume (A^3/atom) = 28.581

a b c (Å): 5.3520 3.4734 6.1848
angles (deg): 90.00 96.10 90.00
Space group P2/m (No. 10)
Inequivalent atoms, fractional coordinates:
Mg (0.0000, 0.0000, 0.0000)
Co (0.5000, 0.0000, 0.0000)
Se (0.2880, 0.5000, 0.8008)


Density functional theory data (PBE) for a geometry-optimized Pu2AlGePt6 structure.

Calculated values
- total DFT energy (no corrections) (eV per atom) = -7.994
- calculated volume (A^3/atom) = 18.780

a b c (Å): 11.6889 5.5008 7.6419
angles (deg): 90.00 130.15 90.00
Space group C2/m (No. 12)
Inequivalent atoms, fractional coordinates:
Pu (0.9995, 0.0000, 0.2472)
Al (0.0000, 0.5000, 0.5000)
Ge (0.0000, 0.5000, 0.0000)
Pt (0.1689, 0.5000, 0.9174)
Pt (0.2448, 0.2500, 0.6880)